#i
This record from the Alexandria database describes crystalline NaMoP2O8 at its relaxed geometry. The functional is PBE with a Hubbard U.

CIF file:
```
data_NaMoP2O8
_chemical_formula_sum 'Na2 Mo2 P4 O16'
_cell_length_a 6.6681
_cell_length_b 6.6681
_cell_length_c 5.7420
_cell_angle_alpha 90.00
_cell_angle_beta 90.00
_cell_angle_gamma 90.00
_space_group_name_H-M_alt 'I -4 m 2'
_space_group_IT_number 119
_space_group_name_Hall 'I -4 -2'
loop_
_atom_site_label
_atom_site_fract_x
_atom_site_fract_y
_atom_site_fract_z
_atom_site_occupancy
Na1 0.0000 0.0000 0.0000 1
Mo1 0.0000 0.5000 0.7500 1
P1 0.0000 0.0000 0.5000 1
P2 0.0000 0.5000 0.2500 1
O1 0.0000 0.1884 0.6594 1
O2 0.0000 0.3277 0.0685 1
```

=====

#ii
This record from the Alexandria database describes crystalline NaMoP2O8 at its relaxed geometry. The functional is PBE with a Hubbard U.

CIF file:
```
data_NaMoP2O8
_chemical_formula_sum 'Na4 Mo4 P8 O32'
_cell_length_a 5.2237
_cell_length_b 11.3847
_cell_length_c 11.5322
_cell_angle_alpha 90.00
_cell_angle_beta 90.00
_cell_angle_gamma 90.00
_space_group_name_H-M_alt 'P 21 21 21'
_space_group_IT_number 19
loop_
_space_group_symop_operation_xyz
'x,y,z'
'-x+1/2,-y,z+1/2'
'x+1/2,-y+1/2,-z'
'-x,y+1/2,-z+1/2'
loop_
_atom_site_label
_atom_site_fract_x
_atom_site_fract_y
_atom_site_fract_z
_atom_site_occupancy
Na1 0.1669 0.2031 0.3755 1
Mo1 0.2396 0.5891 0.6393 1
P1 0.2169 0.8957 0.5498 1
P2 0.2486 0.1185 0.6742 1
O1 0.0265 0.6440 0.7812 1
O2 0.0524 0.8510 0.2681 1
O3 0.0541 0.4301 0.9891 1
O4 0.0868 0.0712 0.9569 1
O5 0.1969 0.8224 0.0609 1
O6 0.2236 0.5554 0.1783 1
O7 0.2305 0.0244 0.1633 1
O8 0.2365 0.7711 0.5933 1
```

=====

Stability comparison, relative energies in kJ/mol of atoms: #i 15.2; #ii 0.0